(1)
Below is a relaxed structure of CdW3S, with properties calculated at the PBE level.

Cell lengths 4.458, 4.458, 4.458 Å; angles 90.00, 90.00, 90.00 degrees
Fractional positions:
S 0.000 0.000 0.000
W 0.000 0.500 0.000
W 0.000 0.000 0.500
W 0.500 0.000 0.000
Cd 0.500 0.500 0.500

## Properties
Space group: Pm-3m (221)
DFT total energy in eV for the cell shown: -39.5
Energy above the lowest structure with this stoichiometry in meV per atom: 0.0

(2)
Below is a relaxed structure of Cd2WS, with properties calculated at the PBE level.

Cell lengths 8.733, 8.733, 6.591 Å; angles 48.51, 48.51, 90.00 degrees
Site moments in Bohr magnetons follow the coordinates.
Fractional positions:
S 0.500 0.500 0.000  -0.01
S 0.250 0.750 0.500  -0.01
W 0.000 0.000 0.000  0.86
W 0.750 0.250 0.500  0.86
Cd 0.542 0.125 0.250  -0.01
Cd 0.208 0.625 0.250  -0.02
Cd 0.375 0.458 0.750  -0.01
Cd 0.875 0.792 0.750  -0.02

## Properties
Space group: I-42d (122)
DFT total energy in eV for the cell shown: -31.4

Asked for energy relative to the elements, uncorrected across the records above, the calculation gives 4.4 3.2 eV/f.u. in order.